Record 1
Density functional theory data (PBE) for a geometry-optimized Li2TaAs structure.

Computed properties:
DOS(E_F) ... 0.6966 states/eV per atom
Energy relative to the elements ... -82 meV/atom
DFT total energy ... -5.16 eV per atom

Geometry as CIF:
```
data_Li2TaAs
_chemical_formula_sum 'Li2 Ta1 As1'
_cell_length_a 3.762
_cell_length_b 3.762
_cell_length_c 4.329
_cell_angle_alpha 90.00
_cell_angle_beta 90.00
_cell_angle_gamma 90.00
_space_group_name_H-M_alt 'P 4/m m m'
_space_group_IT_number 123
_space_group_name_Hall '-P 4 2'
loop_
_atom_site_label
_atom_site_fract_x
_atom_site_fract_y
_atom_site_fract_z
Li1 0.000 0.500 0.000
Ta1 0.000 0.000 0.500
As1 0.500 0.500 0.500
```



Record 2
Density functional theory data (PBE) for a geometry-optimized Mg2CdTeO6 structure.

Computed properties:
DOS(E_F) ... 0.0000 states/eV per atom
Formation energy from raw total energies ... -170.7 kJ/mol of atoms
DFT total energy ... -5.47 eV per atom

Geometry as CIF:
```
data_Mg2CdTeO6
_chemical_formula_sum 'Mg6 Cd3 Te3 O18'
_cell_length_a 5.3458
_cell_length_b 5.3458
_cell_length_c 14.4646
_cell_angle_alpha 90.00
_cell_angle_beta 90.00
_cell_angle_gamma 120.00
_space_group_name_H-M_alt 'R 3'
_space_group_IT_number 146
_space_group_name_Hall 'R 3'
loop_
_atom_site_label
_atom_site_fract_x
_atom_site_fract_y
_atom_site_fract_z
Mg1 0.0000 0.0000 0.0000
Mg2 0.0000 0.0000 0.4878
Cd1 0.0000 0.0000 0.2150
Te1 0.0000 0.0000 0.6912
O1 0.0072 0.3553 0.4241
O2 0.0340 0.7372 0.6022
```



Record 3
Density functional theory data (PBE) for a geometry-optimized Pu2Cd5O12 structure.

Computed properties:
DOS(E_F) ... 0.4614 states/eV per atom
Formation energy from raw total energies ... -142.6 kJ/mol of atoms
DFT total energy ... -6.36 eV per atom

Geometry as CIF:
```
data_Pu2Cd5O12
_chemical_formula_sum 'Pu4 Cd10 O24'
_cell_length_a 11.433
_cell_length_b 6.568
_cell_length_c 8.649
_cell_angle_alpha 90.00
_cell_angle_beta 112.56
_cell_angle_gamma 90.00
_space_group_name_H-M_alt 'C 1 2/m 1'
_space_group_IT_number 12
loop_
_space_group_symop_operation_xyz
'x,y,z'
'-x,-y,-z'
'-x,y,-z'
'x,-y,z'
'x+1/2,y+1/2,z'
'-x+1/2,-y+1/2,-z'
'-x+1/2,y+1/2,-z'
'x+1/2,-y+1/2,z'
loop_
_atom_site_label
_atom_site_fract_x
_atom_site_fract_y
_atom_site_fract_z
Pu1 0.000 0.247 0.000
Cd1 0.000 0.000 0.500
Cd2 0.164 0.500 0.735
Cd3 0.201 0.500 0.400
O1 0.007 0.500 0.835
O2 0.009 0.000 0.853
O3 0.144 0.246 0.549
O4 0.175 0.246 0.107
```



Record 4
Density functional theory data (PBE) for a geometry-optimized InRuF2 structure.

Computed properties:
DOS(E_F) ... 0.4096 states/eV per atom
Formation energy from raw total energies ... -89.8 kJ/mol of atoms
DFT total energy ... -4.87 eV per atom

Geometry as CIF:
```
data_InRuF2
_chemical_formula_sum 'In3 Ru3 F6'
_cell_length_a 2.8977
_cell_length_b 2.8977
_cell_length_c 24.4601
_cell_angle_alpha 90.00
_cell_angle_beta 90.00
_cell_angle_gamma 120.00
_space_group_name_H-M_alt 'R -3 m'
_space_group_IT_number 166
_space_group_name_Hall '-R 3 2"'
loop_
_atom_site_label
_atom_site_fract_x
_atom_site_fract_y
_atom_site_fract_z
In1 0.0000 0.0000 0.0000
Ru1 0.0000 0.0000 0.5000
F1 0.0000 0.0000 0.4183
```



Record 5
Density functional theory data (PBE) for a geometry-optimized CsHfZn2 structure.

Computed properties:
DOS(E_F) ... 0.8133 states/eV per atom
Energy relative to the elements ... 854 meV/atom
DFT total energy ... -2.48 eV per atom

Geometry as CIF:
```
data_CsHfZn2
_chemical_formula_sum 'Cs4 Hf4 Zn8'
_cell_length_a 7.522
_cell_length_b 7.522
_cell_length_c 7.522
_cell_angle_alpha 90.00
_cell_angle_beta 90.00
_cell_angle_gamma 90.00
_space_group_name_H-M_alt 'F m -3 m'
_space_group_IT_number 225
_space_group_name_Hall '-F 4 2 3'
loop_
_atom_site_label
_atom_site_fract_x
_atom_site_fract_y
_atom_site_fract_z
Cs1 0.000 0.000 0.000
Hf1 0.000 0.000 0.500
Zn1 0.250 0.250 0.250
```



Record 6
Density functional theory data (PBE) for a geometry-optimized YCuGe structure.

Computed properties:
DOS(E_F) ... 0.5589 states/eV per atom
Energy relative to the elements ... -401 meV/atom
DFT total energy ... -5.46 eV per atom

Geometry as CIF:
```
data_YCuGe
_chemical_formula_sum 'Y2 Cu2 Ge2'
_cell_length_a 4.004
_cell_length_b 5.559
_cell_length_c 6.219
_cell_angle_alpha 85.51
_cell_angle_beta 89.97
_cell_angle_gamma 68.97
_space_group_name_H-M_alt 'P 1'
_space_group_IT_number 1
loop_
_space_group_symop_operation_xyz
'x,y,z'
loop_
_atom_site_label
_atom_site_fract_x
_atom_site_fract_y
_atom_site_fract_z
Y1 0.000 0.000 0.000
Y2 0.297 0.405 0.449
Cu1 0.686 0.628 0.735
Cu2 0.718 0.563 0.122
Ge1 0.290 0.420 0.936
Ge2 0.571 0.861 0.392
```



Record 7
Density functional theory data (PBE) for a geometry-optimized La8PrEr5 structure.

Computed properties:
DOS(E_F) ... 1.5547 states/eV per atom
Energy relative to the elements ... 228 meV/atom
DFT total energy ... -4.56 eV per atom

Geometry as CIF:
```
data_La8PrEr5
_chemical_formula_sum 'La16 Pr2 Er10'
_cell_length_a 9.737
_cell_length_b 9.737
_cell_length_c 10.531
_cell_angle_alpha 90.00
_cell_angle_beta 90.00
_cell_angle_gamma 90.00
_space_group_name_H-M_alt 'I -4'
_space_group_IT_number 82
loop_
_space_group_symop_operation_xyz
'x,y,z'
'y,-x,-z'
'-x,-y,z'
'-y,x,-z'
'x+1/2,y+1/2,z+1/2'
'y+1/2,-x+1/2,-z+1/2'
'-x+1/2,-y+1/2,z+1/2'
'-y+1/2,x+1/2,-z+1/2'
loop_
_atom_site_label
_atom_site_fract_x
_atom_site_fract_y
_atom_site_fract_z
La1 0.070 0.172 0.152
La2 0.092 0.318 0.500
Pr1 0.000 0.000 0.500
Er1 0.000 0.500 0.250
Er2 0.108 0.300 0.823
```



Record 8
Density functional theory data (PBE) for a geometry-optimized YHoGePd structure.

Computed properties:
DOS(E_F) ... 0.3936 states/eV per atom
Energy relative to the elements ... -899 meV/atom
DFT total energy ... -6.11 eV per atom

Geometry as CIF:
```
data_YHoGePd
_chemical_formula_sum 'Y2 Ho2 Ge2 Pd2'
_cell_length_a 4.321
_cell_length_b 3.900
_cell_length_c 10.845
_cell_angle_alpha 90.00
_cell_angle_beta 90.00
_cell_angle_gamma 90.00
_space_group_name_H-M_alt 'A m m 2'
_space_group_IT_number 38
loop_
_space_group_symop_operation_xyz
'x,y,z'
'-x,-y,z'
'-x,y,z'
'x,-y,z'
'x,y+1/2,z+1/2'
'-x,-y+1/2,z+1/2'
'-x,y+1/2,z+1/2'
'x,-y+1/2,z+1/2'
loop_
_atom_site_label
_atom_site_fract_x
_atom_site_fract_y
_atom_site_fract_z
Y1 0.000 0.000 0.000
Ho1 0.500 0.000 0.721
Ge1 0.000 0.000 0.277
Pd1 0.500 0.000 0.439
```